VASP calculation (PBE-GGA) on a relaxed structure of MgNiOs2.

Geometry as POSCAR:
```
MgNiOs2
1.0
2.6736 -0.0613 0.0000
-1.0765 2.4481 0.0000
0.0000 0.0000 8.7807
Mg Ni Os
1 1 2
direct
0.5000 0.5000 0.2500 Mg
0.5000 0.5000 0.7500 Ni
0.0000 0.0000 0.9868 Os
0.0000 0.0000 0.5132 Os
```

## Properties
- raw total energy (eV/atom) = -7.079
- DOS at the Fermi energy (states/eV per atom) = 1.22

***

VASP calculation (PBE-GGA) on a relaxed structure of MgNiOs2.

Geometry as POSCAR:
```
MgNiOs2
1.0
-3.0273 2.3049 -2.4432
-3.2888 0.9359 2.9588
4.4374 0.7669 0.4092
Mg Ni Os
1 1 2
direct
0.5000 0.5000 0.0000 Mg
0.7500 0.2500 0.5000 Ni
0.0000 0.0000 0.0000 Os
0.2500 0.7500 0.5000 Os
```

## Properties
- raw total energy (eV/atom) = -7.284
- DOS at the Fermi energy (states/eV per atom) = 0.86

***

VASP calculation (PBE-GGA) on a relaxed structure of MgNiOs.

Geometry as POSCAR:
```
MgNiOs
1.0
4.3405 0.0000 0.0000
-2.1703 3.7590 0.0000
0.0000 0.0000 2.6295
Mg Ni Os
1 1 1
direct
0.0000 0.0000 0.9999 Mg
0.6667 0.3333 0.5000 Ni
0.3333 0.6667 0.5001 Os
```

## Properties
- DOS at the Fermi energy (states/eV per atom) = 1.27
- energy above the lowest structure with this stoichiometry (meV/atom) = 142

***

VASP calculation (PBE-GGA) on a relaxed structure of MgNiOs2.

Geometry as POSCAR:
```
MgNiOs2
1.0
3.6956 0.0000 0.0000
0.0000 3.6956 0.0000
0.0000 0.0000 4.1205
Mg Ni Os
1 1 2
direct
0.5000 0.0000 0.5000 Mg
0.0000 0.5000 0.5000 Ni
0.0000 0.0000 0.0000 Os
0.5000 0.5000 0.0000 Os
```

## Properties
- raw total energy (eV/atom) = -7.171
- DOS at the Fermi energy (states/eV per atom) = 0.86

***

VASP calculation (PBE-GGA) on a relaxed structure of MgNiOs2.

Geometry as POSCAR:
```
MgNiOs2
1.0
-2.1603 -2.5174 -3.5529
2.1493 -4.2216 -1.0892
-1.4923 2.1488 4.0967
Mg Ni Os
1 1 2
direct
0.2500 0.7500 0.5000 Mg
0.7500 0.2500 0.5000 Ni
0.0000 0.0000 0.0000 Os
0.5000 0.5000 0.0000 Os
```

## Properties
- raw total energy (eV/atom) = -7.126
- DOS at the Fermi energy (states/eV per atom) = 1.23

***

VASP calculation (PBE-GGA) on a relaxed structure of MgNiOs2.

Geometry as POSCAR:
```
MgNiOs2
1.0
-3.3497 -2.3826 -7.9196
-0.7059 -2.7970 -8.4437
-2.1782 -4.7477 -7.2341
Mg Ni Os
1 1 2
direct
0.2500 0.2500 0.2500 Mg
0.7500 0.7500 0.7500 Ni
0.0051 0.0051 0.0051 Os
0.4949 0.4949 0.4949 Os
```

## Properties
- raw total energy (eV/atom) = -7.215
- DOS at the Fermi energy (states/eV per atom) = 1.01

***

VASP calculation (PBE-GGA) on a relaxed structure of MgNiOs2.

Geometry as POSCAR:
```
MgNiOs2
1.0
-0.2291 -2.6238 1.0681
2.3657 -1.5900 -3.3985
3.7823 0.6229 2.3414
Mg Ni Os
1 1 2
direct
0.5000 0.0000 0.5000 Mg
0.0000 0.5000 0.5000 Ni
0.0000 0.0000 0.0000 Os
0.5000 0.5000 0.0000 Os
```

## Properties
- raw total energy (eV/atom) = -7.194
- DOS at the Fermi energy (states/eV per atom) = 1.42

***

VASP calculation (PBE-GGA) on a relaxed structure of Mg2Ni2Os.

Geometry as POSCAR:
```
Mg2Ni2Os
1.0
6.1107 0.0000 0.0000
0.0000 6.1107 0.0000
0.0000 0.0000 4.0666
Ni Mg Os
4 4 2
direct
0.3692 0.8692 0.0000 Ni
0.8692 0.6308 0.0000 Ni
0.6308 0.1308 0.0000 Ni
0.1308 0.3692 0.0000 Ni
0.1795 0.6795 0.5000 Mg
0.6795 0.8205 0.5000 Mg
0.8205 0.3205 0.5000 Mg
0.3205 0.1795 0.5000 Mg
0.0000 0.0000 0.0000 Os
0.5000 0.5000 0.0000 Os
```

## Properties
- raw total energy (eV/atom) = -5.097
- DOS at the Fermi energy (states/eV per atom) = 0.83

***

VASP calculation (PBE-GGA) on a relaxed structure of MgNiOs.

Geometry as POSCAR:
```
MgNiOs
1.0
2.7455 0.0000 0.0000
-1.3727 2.3776 0.0000
0.0000 0.0000 19.4650
Mg Ni Os
3 3 3
direct
0.0000 0.0000 0.9941 Mg
0.3333 0.6667 0.6608 Mg
0.6667 0.3333 0.3275 Mg
0.0000 0.0000 0.4380 Ni
0.3333 0.6667 0.1046 Ni
0.6667 0.3333 0.7713 Ni
0.0000 0.0000 0.2067 Os
0.3333 0.6667 0.8734 Os
0.6667 0.3333 0.5400 Os
```

## Properties
- DOS at the Fermi energy (states/eV per atom) = 0.61
- energy above the lowest structure with this stoichiometry (meV/atom) = 40

***

VASP calculation (PBE-GGA) on a relaxed structure of MgNiOs2.

Geometry as POSCAR:
```
MgNiOs2
1.0
5.5444 0.0246 0.0964
4.8541 2.6793 0.0964
1.6956 0.4409 3.9678
Mg Ni Os
1 1 2
direct
0.7500 0.7500 0.7500 Mg
0.2500 0.2500 0.2500 Ni
0.9652 0.9652 0.0361 Os
0.5348 0.5348 0.4639 Os
```

## Properties
- raw total energy (eV/atom) = -7.317
- DOS at the Fermi energy (states/eV per atom) = 0.96

***

VASP calculation (PBE-GGA) on a relaxed structure of MgNiOs2.

Geometry as POSCAR:
```
MgNiOs2
1.0
4.9567 -0.0162 -0.0149
2.1766 4.4533 0.0149
-3.0958 -2.9756 2.4762
Mg Ni Os
1 1 2
direct
0.4899 0.4899 0.0000 Mg
0.2523 0.7523 0.5000 Ni
0.0056 0.0056 0.0000 Os
0.7522 0.2522 0.5000 Os
```

## Properties
- raw total energy (eV/atom) = -7.201
- DOS at the Fermi energy (states/eV per atom) = 0.98

***

VASP calculation (PBE-GGA) on a relaxed structure of MgNiOs2.

Geometry as POSCAR:
```
MgNiOs2
1.0
-2.3925 1.3407 -1.1364
-1.3215 -2.6378 -0.3297
-2.5259 0.5236 5.9356
Mg Ni Os
1 1 2
direct
0.5000 0.5000 0.2500 Mg
0.5000 0.5000 0.7500 Ni
0.0000 0.0000 0.9589 Os
0.0000 0.0000 0.5411 Os
```

## Properties
- raw total energy (eV/atom) = -7.095
- DOS at the Fermi energy (states/eV per atom) = 0.83

***

VASP calculation (PBE-GGA) on a relaxed structure of MgNiOs2.

Geometry as POSCAR:
```
MgNiOs2
1.0
-1.5934 -3.4172 0.0426
1.3884 -0.6186 2.3093
-2.7471 1.3474 5.3329
Mg Ni Os
1 1 2
direct
0.0000 0.4794 0.5208 Mg
0.5000 0.7554 0.7443 Ni
0.0000 0.9847 0.0152 Os
0.5000 0.2805 0.2197 Os
```

## Properties
- raw total energy (eV/atom) = -7.341
- DOS at the Fermi energy (states/eV per atom) = 0.85

***

VASP calculation (PBE-GGA) on a relaxed structure of MgNiOs.

Geometry as POSCAR:
```
MgNiOs
1.0
4.0824 0.0000 0.0000
2.0412 3.5354 0.0000
2.0412 1.1785 3.3332
Mg Ni Os
1 1 1
direct
0.5000 0.5000 0.5000 Mg
0.7500 0.7500 0.7500 Ni
0.0000 0.0000 0.0000 Os
```

## Properties
- DOS at the Fermi energy (states/eV per atom) = 0.43
- energy above the lowest structure with this stoichiometry (meV/atom) = 428

***

VASP calculation (PBE-GGA) on a relaxed structure of MgNiOs.

Geometry as POSCAR:
```
MgNiOs
1.0
2.7394 0.0000 0.0000
-1.3697 2.3724 0.0000
0.0000 0.0000 6.5252
Mg Ni Os
1 1 1
direct
0.3333 0.6667 0.0183 Mg
0.6667 0.3333 0.6856 Ni
0.0000 0.0000 0.3797 Os
```

## Properties
- DOS at the Fermi energy (states/eV per atom) = 0.59
- energy above the lowest structure with this stoichiometry (meV/atom) = 52

***

VASP calculation (PBE-GGA) on a relaxed structure of MgNiOs4.

Geometry as POSCAR:
```
MgNiOs4
1.0
1.0656 1.0547 4.9127
-0.6261 4.7711 1.7967
-3.8079 1.0259 3.2909
Mg Ni Os
1 1 4
direct
0.7500 0.7500 0.7500 Mg
0.0000 0.0000 0.0000 Ni
0.8762 0.3746 0.3746 Os
0.3746 0.3746 0.8762 Os
0.3746 0.8762 0.3746 Os
0.3746 0.3746 0.3746 Os
```

## Properties
- raw total energy (eV/atom) = -8.097
- DOS at the Fermi energy (states/eV per atom) = 1.29

***

VASP calculation (PBE-GGA) on a relaxed structure of Mg3NiOs.

Geometry as POSCAR:
```
Mg3NiOs
1.0
4.9133 0.0000 0.0000
0.0000 4.9133 0.0000
0.0000 0.0000 4.9133
Ni Mg Os
1 3 1
direct
0.5000 0.5000 0.5000 Ni
0.0000 0.5000 0.0000 Mg
0.0000 0.0000 0.5000 Mg
0.5000 0.0000 0.0000 Mg
0.0000 0.0000 0.0000 Os
```

## Properties
- DOS at the Fermi energy (states/eV per atom) = 1.51
- energy above the lowest structure with this stoichiometry (meV/atom) = 150

***

VASP calculation (PBE-GGA) on a relaxed structure of MgNiOs2.

Geometry as POSCAR:
```
MgNiOs2
1.0
7.4568 0.0000 0.0000
0.0000 7.4568 0.0000
3.7284 3.7284 2.3110
Ni Mg Os
2 2 4
direct
0.0000 0.0000 0.0000 Ni
0.7500 0.2500 0.5000 Ni
0.5000 0.5000 0.0000 Mg
0.2500 0.7500 0.5000 Mg
0.6908 0.1250 0.2500 Os
0.0592 0.6250 0.2500 Os
0.3750 0.3092 0.7500 Os
0.8750 0.9408 0.7500 Os
```

## Properties
- raw total energy (eV/atom) = -6.791
- DOS at the Fermi energy (states/eV per atom) = 0.35

***

VASP calculation (PBE-GGA) on a relaxed structure of MgNiOs2.

Geometry as POSCAR:
```
MgNiOs2
1.0
-1.8255 4.0169 1.9656
0.2743 -3.7288 3.0581
2.4190 0.7550 0.7036
Mg Ni Os
1 1 2
direct
0.5000 0.0000 0.5000 Mg
0.0000 0.5000 0.5000 Ni
0.0000 0.0000 0.0000 Os
0.5000 0.5000 0.0000 Os
```

## Properties
- raw total energy (eV/atom) = -7.125
- DOS at the Fermi energy (states/eV per atom) = 1.01

***

VASP calculation (PBE-GGA) on a relaxed structure of MgNiOs2.

Geometry as POSCAR:
```
MgNiOs2
1.0
2.6898 -0.0014 0.0000
-1.1720 2.4211 0.0000
0.0000 0.0000 8.8482
Mg Ni Os
1 1 2
direct
0.0000 0.0000 0.5114 Mg
0.5000 0.5000 0.7529 Ni
0.0000 0.0000 0.9912 Os
0.5000 0.5000 0.2446 Os
```

## Properties
- raw total energy (eV/atom) = -7.049
- DOS at the Fermi energy (states/eV per atom) = 1.51

***

VASP calculation (PBE-GGA) on a relaxed structure of MgNi4Os.

Geometry as POSCAR:
```
MgNi4Os
1.0
1.5335 -4.4691 -0.2870
-2.5274 -3.4989 1.9435
-2.2613 -3.1051 -2.7662
Mg Ni Os
1 4 1
direct
0.0000 0.0000 0.0000 Mg
0.8751 0.3750 0.3750 Ni
0.3750 0.3750 0.8751 Ni
0.3750 0.8751 0.3750 Ni
0.3750 0.3750 0.3750 Ni
0.7500 0.7500 0.7500 Os
```

## Properties
- raw total energy (eV/atom) = -5.900
- DOS at the Fermi energy (states/eV per atom) = 0.94

***

VASP calculation (PBE-GGA) on a relaxed structure of MgNiOs2.

Geometry as POSCAR:
```
MgNiOs2
1.0
-3.9011 -1.8897 -1.0223
1.2214 -2.3838 -0.2545
-0.4917 -1.4497 4.5562
Mg Ni Os
1 1 2
direct
0.5000 0.2500 0.2500 Mg
0.5000 0.7500 0.7500 Ni
0.0000 0.9386 0.9890 Os
0.0000 0.5614 0.5110 Os
```

## Properties
- raw total energy (eV/atom) = -7.189
- DOS at the Fermi energy (states/eV per atom) = 1.03

***

VASP calculation (PBE-GGA) on a relaxed structure of MgNiOs.

Geometry as POSCAR:
```
MgNiOs
1.0
6.0765 0.9513 -0.2843
4.3823 4.3157 0.2841
-5.1017 -2.8872 1.8836
Mg Ni Os
1 1 1
direct
0.9962 0.9962 0.0000 Mg
0.3239 0.3239 0.0000 Ni
0.6799 0.6799 0.0000 Os
```

## Properties
- DOS at the Fermi energy (states/eV per atom) = 0.65
- energy above the lowest structure with this stoichiometry (meV/atom) = 0

***

VASP calculation (PBE-GGA) on a relaxed structure of Mg3NiOs.

Geometry as POSCAR:
```
Mg3NiOs
1.0
-1.8451 -3.5565 -2.1498
2.3243 1.0668 -3.7595
3.4450 -2.6245 1.3851
Ni Mg Os
1 3 1
direct
0.0000 0.0000 0.0000 Ni
0.0000 0.5000 0.0000 Mg
0.0000 0.0000 0.5000 Mg
0.5000 0.0000 0.0000 Mg
0.5000 0.5000 0.5000 Os
```

## Properties
- DOS at the Fermi energy (states/eV per atom) = 1.25
- energy above the lowest structure with this stoichiometry (meV/atom) = 0

***

VASP calculation (PBE-GGA) on a relaxed structure of MgNiOs2.

Geometry as POSCAR:
```
MgNiOs2
1.0
4.2888 0.0000 0.0000
2.1444 3.7143 0.0000
2.1444 1.2381 3.5018
Mg Ni Os
1 1 2
direct
0.5000 0.5000 0.5000 Mg
0.7500 0.7500 0.7500 Ni
0.0000 0.0000 0.0000 Os
0.2500 0.2500 0.2500 Os
```

## Properties
- raw total energy (eV/atom) = -7.236
- DOS at the Fermi energy (states/eV per atom) = 1.10

***

VASP calculation (PBE-GGA) on a relaxed structure of MgNiOs2.

Geometry as POSCAR:
```
MgNiOs2
1.0
4.6665 0.0050 0.0040
3.8717 2.6052 0.0040
0.6983 0.2135 4.6635
Mg Ni Os
1 1 2
direct
0.5052 0.5052 0.4660 Mg
0.2572 0.2572 0.2746 Ni
0.9962 0.9962 0.9699 Os
0.7414 0.7414 0.7895 Os
```

## Properties
- raw total energy (eV/atom) = -7.309
- DOS at the Fermi energy (states/eV per atom) = 0.88

***

VASP calculation (PBE-GGA) on a relaxed structure of MgNi6Os.

Geometry as POSCAR:
```
MgNi6Os
1.0
6.2799 -0.0042 0.0000
-2.0870 5.9229 0.0000
0.0000 0.0000 10.2480
Mg Ni Os
4 24 4
direct
0.2520 0.7480 0.7500 Mg
0.7480 0.2520 0.7500 Mg
0.5000 0.5000 0.5004 Mg
0.5000 0.5000 0.9998 Mg
0.2458 0.7542 0.4933 Ni
0.8784 0.6316 0.6220 Ni
0.1216 0.3684 0.6220 Ni
0.7542 0.2458 0.4933 Ni
0.3684 0.1216 0.6220 Ni
0.6316 0.8784 0.6220 Ni
0.5000 0.5000 0.2501 Ni
0.1162 0.3705 0.3727 Ni
0.3705 0.1162 0.3727 Ni
0.2458 0.7542 0.0068 Ni
0.8838 0.6295 0.1273 Ni
0.1162 0.3705 0.1273 Ni
0.7542 0.2458 0.0068 Ni
0.3705 0.1162 0.1273 Ni
0.6295 0.8838 0.1273 Ni
0.5000 0.5000 0.7501 Ni
0.1216 0.3684 0.8780 Ni
0.3684 0.1216 0.8780 Ni
0.0000 0.0000 0.2500 Ni
0.6295 0.8838 0.3727 Ni
0.8838 0.6295 0.3727 Ni
0.0000 0.0000 0.7500 Ni
0.6316 0.8784 0.8780 Ni
0.8784 0.6316 0.8780 Ni
0.2579 0.7421 0.2500 Os
0.7421 0.2579 0.2500 Os
0.0000 0.0000 0.5058 Os
0.0000 0.0000 0.9942 Os
```

## Properties
- raw total energy (eV/atom) = -5.938
- DOS at the Fermi energy (states/eV per atom) = 1.29

***

VASP calculation (PBE-GGA) on a relaxed structure of Mg2NiPOs.

Geometry as POSCAR:
```
Mg2NiPOs
1.0
-0.3541 0.7436 4.5004
3.4874 -2.6557 0.7132
2.8106 3.5908 -0.3722
Ni Mg Os P
1 2 1 1
direct
0.0000 0.0000 0.0000 Ni
0.0000 0.0000 0.5000 Mg
0.5000 0.0000 0.0000 Mg
0.0000 0.5000 0.0000 Os
0.5000 0.5000 0.5000 P
```

## Properties
- raw total energy (eV/atom) = -4.382
- DOS at the Fermi energy (states/eV per atom) = 0.63